Material: In2Sn2Se
Method: DFT, PBE
State: optimized geometry

Values from the calculation:
Total DFT energy (no corrections), eV per atom: -3.348
Theoretical density, kg/m³: 6360
DOS(E_F), states/eV/atom: 0.667
Relative energy among the computed polymorphs, eV/f.u.: 0.23
Formation energy from raw total energies, meV per atom: 46
Total magnetic moment, Bohr magnetons per cell: 0.00

abc: 4.168 4.168 16.416
angles: 90.00 90.00 90.00
Space group I4/mmm (No. 139)
Inequivalent atoms, fractional coordinates:
In1 0.000 0.000 0.090
Sn1 0.000 0.500 0.250
Se1 0.000 0.000 0.500

=====

Material: InSnSe
Method: DFT, PBE
State: optimized geometry

Values from the calculation:
Total DFT energy (no corrections), eV per atom: -3.690
Theoretical density, kg/m³: 5144
DOS(E_F), states/eV/atom: 0.168
Relative energy among the computed polymorphs, eV/f.u.: 0.00
Formation energy from raw total energies, meV per atom: -281
Total magnetic moment, Bohr magnetons per cell: 0.00

abc: 4.3402 4.3402 12.3662
angles: 90.00 90.00 120.00
Space group P-3m1 (No. 164)
Inequivalent atoms, fractional coordinates:
In1 0.3333 0.6667 0.2779
Sn1 0.3333 0.6667 0.0478
Se1 0.3333 0.6667 0.6324

=====

Material: In2SnSe4
Method: DFT, PBE
State: optimized geometry

Values from the calculation:
Total DFT energy (no corrections), eV per atom: -3.810
Theoretical density, kg/m³: 5586
DOS(E_F), states/eV/atom: 0.064
Relative energy among the computed polymorphs, eV/f.u.: 0.00
Formation energy from raw total energies, meV per atom: -465
Total magnetic moment, Bohr magnetons per cell: 0.00

abc: 15.025 4.135 6.902
angles: 90.00 112.96 90.00
Space group C2/m (No. 12)
Inequivalent atoms, fractional coordinates:
In1 0.232 0.000 0.215
Sn1 0.000 0.500 0.500
Se1 0.131 0.500 0.960
Se2 0.145 0.000 0.495

=====

The lowest total DFT energy (no corrections) belongs to which entry? In2SnSe4

=====

Which of these has the lowest DOS(E_F)? In2SnSe4

=====

Please write out number 2 again, unchanged.
Material: InSnSe
Method: DFT, PBE
State: optimized geometry

Values from the calculation:
Total DFT energy (no corrections), eV per atom: -3.690
Theoretical density, kg/m³: 5144
DOS(E_F), states/eV/atom: 0.168
Relative energy among the computed polymorphs, eV/f.u.: 0.00
Formation energy from raw total energies, meV per atom: -281
Total magnetic moment, Bohr magnetons per cell: 0.00

abc: 4.3402 4.3402 12.3662
angles: 90.00 90.00 120.00
Space group P-3m1 (No. 164)
Inequivalent atoms, fractional coordinates:
In1 0.3333 0.6667 0.2779
Sn1 0.3333 0.6667 0.0478
Se1 0.3333 0.6667 0.6324

=====

What is the formula in the second record? InSnSe